1.
VASP calculation (PBE) on crystalline Tb3DyIn3Te8 at its relaxed geometry.

```
data_Tb3DyIn3Te8
_cell_length_a 8.787
_cell_length_b 8.785
_cell_length_c 9.379
_cell_angle_alpha 117.94
_cell_angle_beta 90.00
_cell_angle_gamma 120.01
_symmetry_space_group_name_H-M 'P 1'
_symmetry_Int_Tables_number 1
loop_
_symmetry_equiv_pos_as_xyz
'x,y,z'
loop_
_atom_site_label
_atom_site_fract_x
_atom_site_fract_y
_atom_site_fract_z
_atom_site_occupancy
In1 0.000 0.500 0.000 1
Tb1 0.500 0.000 0.500 1
Te1 0.257 0.515 0.272 1
Te2 0.758 0.516 0.275 1
In2 0.000 0.000 0.000 1
Te3 0.242 0.984 0.726 1
Te4 0.242 0.484 0.725 1
Tb2 0.000 0.500 0.500 1
Te5 0.258 0.016 0.274 1
Dy1 0.000 0.000 0.500 1
Tb3 0.500 0.500 0.500 1
Te6 0.758 0.016 0.274 1
In3 0.500 0.500 0.000 1
Te7 0.743 0.485 0.728 1
Te8 0.742 0.984 0.726 1
```

Values from the calculation:
The value obtained for the calculated volume is 35.15 A^3/atom. The total moment is 0.000 μB per formula unit. The calculation puts the formation energy from raw total energies at -1.0114 eV per atom.

---

2.
VASP calculation (PBE) on crystalline TbDy3In3Te8 at its relaxed geometry.

```
data_TbDy3In3Te8
_cell_length_a 8.771
_cell_length_b 8.770
_cell_length_c 9.370
_cell_angle_alpha 117.91
_cell_angle_beta 90.00
_cell_angle_gamma 120.00
_symmetry_space_group_name_H-M 'P 1'
_symmetry_Int_Tables_number 1
loop_
_symmetry_equiv_pos_as_xyz
'x,y,z'
loop_
_atom_site_label
_atom_site_fract_x
_atom_site_fract_y
_atom_site_fract_z
_atom_site_occupancy
Te1 0.258 0.516 0.274 1
Te2 0.742 0.484 0.726 1
Te3 0.261 0.017 0.275 1
Te4 0.757 0.017 0.275 1
Te5 0.243 0.983 0.725 1
Dy1 0.000 0.500 0.500 1
In1 0.000 0.000 0.000 1
Tb1 0.000 0.000 0.500 1
In2 0.000 0.500 0.000 1
Te6 0.739 0.983 0.725 1
Te7 0.243 0.486 0.725 1
In3 0.500 0.500 0.000 1
Te8 0.757 0.514 0.275 1
Dy2 0.500 0.000 0.500 1
Dy3 0.500 0.500 0.500 1
```

Values from the calculation:
The value obtained for the calculated volume is 35.01 A^3/atom. The total moment is 0.000 μB per formula unit. The calculation puts the formation energy from raw total energies at -1.0076 eV per atom.

---

3.
VASP calculation (PBE) on crystalline TbDy2In3Te6 at its relaxed geometry.

```
data_TbDy2In3Te6
_cell_length_a 7.647
_cell_length_b 7.647
_cell_length_c 8.510
_cell_angle_alpha 98.60
_cell_angle_beta 98.60
_cell_angle_gamma 120.01
_symmetry_space_group_name_H-M 'P 1'
_symmetry_Int_Tables_number 1
loop_
_symmetry_equiv_pos_as_xyz
'x,y,z'
loop_
_atom_site_label
_atom_site_fract_x
_atom_site_fract_y
_atom_site_fract_z
_atom_site_occupancy
In1 0.500 0.500 0.500 1
In2 0.166 0.834 0.500 1
Dy1 0.333 0.667 0.000 1
Te1 0.927 0.593 0.781 1
In3 0.834 0.166 0.500 1
Te2 0.407 0.073 0.219 1
Dy2 0.667 0.333 0.000 1
Te3 0.739 0.739 0.219 1
Te4 0.073 0.407 0.219 1
Te5 0.593 0.927 0.781 1
Tb1 0.000 0.000 0.000 1
Te6 0.261 0.261 0.781 1
```

Values from the calculation:
The value obtained for the calculated volume is 34.26 A^3/atom. The total moment is 0.000 μB per formula unit. The calculation puts the formation energy from raw total energies at -0.9723 eV per atom.

---

4.
VASP calculation (PBE) on crystalline Tb3DyIn4Te8 at its relaxed geometry.

```
data_Tb3DyIn4Te8
_cell_length_a 8.842
_cell_length_b 9.586
_cell_length_c 8.841
_cell_angle_alpha 117.47
_cell_angle_beta 120.00
_cell_angle_gamma 90.00
_symmetry_space_group_name_H-M 'P 1'
_symmetry_Int_Tables_number 1
loop_
_symmetry_equiv_pos_as_xyz
'x,y,z'
loop_
_atom_site_label
_atom_site_fract_x
_atom_site_fract_y
_atom_site_fract_z
_atom_site_occupancy
Te1 0.260 0.280 0.520 1
Tb1 0.000 0.500 0.500 1
Te2 0.760 0.280 0.020 1
Te3 0.239 0.720 0.479 1
Te4 0.240 0.720 0.980 1
In1 0.500 0.000 0.000 1
In2 0.000 0.000 0.500 1
Te5 0.761 0.280 0.521 1
Tb2 0.500 0.500 0.000 1
Te6 0.740 0.720 0.480 1
In3 0.000 0.000 0.000 1
Te7 0.259 0.280 0.020 1
In4 0.500 0.000 0.500 1
Te8 0.741 0.720 0.980 1
Dy1 0.000 0.500 0.000 1
Tb3 0.500 0.500 0.500 1
```

Values from the calculation:
The value obtained for the calculated volume is 34.33 A^3/atom. The total moment is 0.000 μB per formula unit. The calculation puts the formation energy from raw total energies at -0.9752 eV per atom.

---

5.
VASP calculation (PBE) on crystalline TbDyThIn at its relaxed geometry.

```
data_TbDyThIn
_cell_length_a 5.465
_cell_length_b 5.465
_cell_length_c 5.465
_cell_angle_alpha 60.00
_cell_angle_beta 60.00
_cell_angle_gamma 60.00
_symmetry_space_group_name_H-M 'P 1'
_symmetry_Int_Tables_number 1
loop_
_symmetry_equiv_pos_as_xyz
'x,y,z'
loop_
_atom_site_label
_atom_site_fract_x
_atom_site_fract_y
_atom_site_fract_z
_atom_site_occupancy
Dy1 0.500 0.500 0.500 1
Tb1 0.000 0.000 0.000 1
In1 0.250 0.250 0.250 1
Th1 0.750 0.750 0.750 1
```

Values from the calculation:
The value obtained for the calculated volume is 28.85 A^3/atom. The total moment is 0.267 μB per formula unit. The energy of formation is -0.09 eV/f.u.

---

6.
VASP calculation (PBE) on crystalline TbDyTiIn at its relaxed geometry.

```
data_TbDyTiIn
_cell_length_a 5.262
_cell_length_b 5.262
_cell_length_c 5.262
_cell_angle_alpha 60.00
_cell_angle_beta 60.00
_cell_angle_gamma 60.00
_symmetry_space_group_name_H-M 'P 1'
_symmetry_Int_Tables_number 1
loop_
_symmetry_equiv_pos_as_xyz
'x,y,z'
loop_
_atom_site_label
_atom_site_fract_x
_atom_site_fract_y
_atom_site_fract_z
_atom_site_occupancy
Dy1 0.500 0.500 0.500 1
Tb1 0.000 0.000 0.000 1
In1 0.250 0.250 0.250 1
Ti1 0.750 0.750 0.750 1
```

Values from the calculation:
The value obtained for the calculated volume is 25.76 A^3/atom. The total moment is 2.668 μB per formula unit. The energy of formation is -0.37 eV/f.u.

---

7.
VASP calculation (PBE) on crystalline TbDy5TlIn2 at its relaxed geometry.

```
data_TbDy5TlIn2
_cell_length_a 8.561
_cell_length_b 8.561
_cell_length_c 9.352
_cell_angle_alpha 117.24
_cell_angle_beta 117.24
_cell_angle_gamma 90.00
_symmetry_space_group_name_H-M 'P 1'
_symmetry_Int_Tables_number 1
loop_
_symmetry_equiv_pos_as_xyz
'x,y,z'
loop_
_atom_site_label
_atom_site_fract_x
_atom_site_fract_y
_atom_site_fract_z
_atom_site_occupancy
Dy1 0.575 0.658 0.733 1
Dy2 0.342 0.842 0.267 1
Dy3 0.925 0.425 0.267 1
Dy4 0.425 0.342 0.267 1
Dy5 0.000 0.000 0.000 1
Dy6 0.158 0.075 0.733 1
Dy7 0.500 0.500 0.000 1
Dy8 0.075 0.575 0.733 1
Tb1 0.250 0.750 0.500 1
Tl1 0.750 0.750 0.500 1
Tl2 0.250 0.250 0.500 1
Dy9 0.658 0.158 0.733 1
In1 0.110 0.390 0.000 1
Tb2 0.750 0.250 0.500 1
In2 0.610 0.110 0.000 1
Dy10 0.842 0.925 0.267 1
In3 0.390 0.890 0.000 1
In4 0.890 0.610 0.000 1
```

Values from the calculation:
The value obtained for the calculated volume is 29.03 A^3/atom. The total moment is 0.000 μB per formula unit. The energy of formation is -0.46 eV/f.u.

---

8.
VASP calculation (PBE) on crystalline TbDyTlIn at its relaxed geometry.

```
data_TbDyTlIn
_cell_length_a 5.352
_cell_length_b 5.352
_cell_length_c 5.352
_cell_angle_alpha 60.00
_cell_angle_beta 60.00
_cell_angle_gamma 60.00
_symmetry_space_group_name_H-M 'P 1'
_symmetry_Int_Tables_number 1
loop_
_symmetry_equiv_pos_as_xyz
'x,y,z'
loop_
_atom_site_label
_atom_site_fract_x
_atom_site_fract_y
_atom_site_fract_z
_atom_site_occupancy
In1 0.500 0.500 0.500 1
Tb1 0.250 0.250 0.250 1
Tl1 0.000 0.000 0.000 1
Dy1 0.750 0.750 0.750 1
```

Values from the calculation:
The value obtained for the calculated volume is 27.10 A^3/atom. The total moment is 0.000 μB per formula unit. The energy of formation is -1.64 eV/f.u.

---

9.
VASP calculation (PBE) on crystalline Tb5DyTlIn2 at its relaxed geometry.

```
data_Tb5DyTlIn2
_cell_length_a 8.593
_cell_length_b 8.593
_cell_length_c 9.374
_cell_angle_alpha 117.28
_cell_angle_beta 117.28
_cell_angle_gamma 90.00
_symmetry_space_group_name_H-M 'P 1'
_symmetry_Int_Tables_number 1
loop_
_symmetry_equiv_pos_as_xyz
'x,y,z'
loop_
_atom_site_label
_atom_site_fract_x
_atom_site_fract_y
_atom_site_fract_z
_atom_site_occupancy
Tb1 0.575 0.659 0.733 1
Tb2 0.159 0.075 0.733 1
Tb3 0.075 0.575 0.733 1
Tb4 0.659 0.159 0.733 1
Tl1 0.750 0.750 0.500 1
Dy1 0.750 0.250 0.500 1
In1 0.110 0.390 0.000 1
Tb5 0.500 0.500 0.000 1
Tb6 0.341 0.841 0.267 1
In2 0.890 0.610 0.000 1
Tb7 0.841 0.925 0.267 1
Dy2 0.250 0.750 0.500 1
In3 0.390 0.890 0.000 1
Tb8 0.925 0.425 0.267 1
In4 0.610 0.110 0.000 1
Tl2 0.250 0.250 0.500 1
Tb9 0.000 0.000 0.000 1
Tb10 0.425 0.341 0.267 1
```

Values from the calculation:
The value obtained for the calculated volume is 29.28 A^3/atom. The total moment is 0.000 μB per formula unit. The energy of formation is -0.56 eV/f.u.

---

10.
VASP calculation (PBE) on crystalline Tb6Dy3Tm2In at its relaxed geometry.

```
data_Tb6Dy3Tm2In
_cell_length_a 6.096
_cell_length_b 6.096
_cell_length_c 11.580
_cell_angle_alpha 95.06
_cell_angle_beta 95.06
_cell_angle_gamma 120.04
_symmetry_space_group_name_H-M 'P 1'
_symmetry_Int_Tables_number 1
loop_
_symmetry_equiv_pos_as_xyz
'x,y,z'
loop_
_atom_site_label
_atom_site_fract_x
_atom_site_fract_y
_atom_site_fract_z
_atom_site_occupancy
Dy1 0.833 0.167 0.500 1
Tb1 0.082 0.411 0.246 1
Dy2 0.500 0.500 0.500 1
In1 0.000 0.000 0.000 1
Tm1 0.334 0.666 0.000 1
Tb2 0.247 0.247 0.753 1
Dy3 0.167 0.833 0.500 1
Tb3 0.753 0.753 0.247 1
Tb4 0.589 0.918 0.754 1
Tb5 0.918 0.589 0.754 1
Tm2 0.666 0.334 0.000 1
Tb6 0.411 0.082 0.246 1
```

Values from the calculation:
The value obtained for the calculated volume is 30.56 A^3/atom. The total moment is 0.001 μB per formula unit. The energy of formation is -0.44 eV/f.u.

---

> Which of these has the highest total moment?

TbDyTiIn

---

Repeat the tenth record exactly.
VASP calculation (PBE) on crystalline Tb6Dy3Tm2In at its relaxed geometry.

```
data_Tb6Dy3Tm2In
_cell_length_a 6.096
_cell_length_b 6.096
_cell_length_c 11.580
_cell_angle_alpha 95.06
_cell_angle_beta 95.06
_cell_angle_gamma 120.04
_symmetry_space_group_name_H-M 'P 1'
_symmetry_Int_Tables_number 1
loop_
_symmetry_equiv_pos_as_xyz
'x,y,z'
loop_
_atom_site_label
_atom_site_fract_x
_atom_site_fract_y
_atom_site_fract_z
_atom_site_occupancy
Dy1 0.833 0.167 0.500 1
Tb1 0.082 0.411 0.246 1
Dy2 0.500 0.500 0.500 1
In1 0.000 0.000 0.000 1
Tm1 0.334 0.666 0.000 1
Tb2 0.247 0.247 0.753 1
Dy3 0.167 0.833 0.500 1
Tb3 0.753 0.753 0.247 1
Tb4 0.589 0.918 0.754 1
Tb5 0.918 0.589 0.754 1
Tm2 0.666 0.334 0.000 1
Tb6 0.411 0.082 0.246 1
```

Values from the calculation:
The value obtained for the calculated volume is 30.56 A^3/atom. The total moment is 0.001 μB per formula unit. The energy of formation is -0.44 eV/f.u.

---

> What is the calculated volume in the seventh record?

29.03 A^3/atom